A geometry-optimized Ac4H structure, computed with PBE.

The density is 8.46 g/cm³. The value obtained for the volume is 178 Å³/cell. The calculation puts the total energy at -20.51 eV for the cell shown.

The structure belongs to space group Pm-3m (No. 221); the cell edges are 5.6300, 5.6300 and 5.6300 Å and the angles 90.00°, 90.00° and 90.00°. The asymmetric unit holds Ac at (0.0000, 0.0000, 0.0000), Ac at (0.0000, 0.5000, 0.5000) and H at (0.5000, 0.5000, 0.5000).